Entry from the Alexandria database: a relaxed structure of Mn2HWO (PBEsol).

* final energy: -8.121 eV per atom
* size of the total moment: 1.62 μB/f.u.

a = 3.502 Å, b = 3.502 Å, c = 4.190 Å
α = 90.00°, β = 90.00°, γ = 90.00°
Atoms (fractional coordinates):
Mn (0.500, 0.000, 0.000)
Mn (0.000, 0.500, 0.000)
W (0.500, 0.500, 0.500)
O (0.000, 0.000, 0.000)
H (0.000, 0.000, 0.500)


Entry from the Alexandria database: a relaxed structure of MnH2Os (PBEsol).

* final energy: -6.873 eV per atom
* size of the total moment: 2.01 μB/f.u.

a = 3.949 Å, b = 3.949 Å, c = 4.903 Å
α = 113.75°, β = 113.75°, γ = 90.00°
Atoms (fractional coordinates):
H (0.125, 0.151, 0.750)
H (0.625, 0.599, 0.750)
H (0.849, 0.375, 0.250)
H (0.401, 0.875, 0.250)
Os (0.250, 0.750, 0.500)
Os (0.000, 0.000, 0.000)
Mn (0.750, 0.250, 0.500)
Mn (0.500, 0.500, 0.000)


Entry from the Alexandria database: a relaxed structure of Mn2H2Os (PBEsol).

* final energy: -7.654 eV per atom
* size of the total moment: 2.92 μB/f.u.

a = 2.669 Å, b = 2.669 Å, c = 6.056 Å
α = 102.73°, β = 102.73°, γ = 90.00°
Atoms (fractional coordinates):
Os (0.000, 0.000, 0.000)
Mn (0.348, 0.348, 0.695)
Mn (0.652, 0.652, 0.305)
H (0.250, 0.750, 0.500)
H (0.750, 0.250, 0.500)


Entry from the Alexandria database: a relaxed structure of MnSn2HOs (PBEsol).

* final energy: -6.318 eV per atom
* size of the total moment: 2.77 μB/f.u.

a = 3.480 Å, b = 4.565 Å, c = 4.565 Å
α = 90.00°, β = 90.00°, γ = 90.00°
Atoms (fractional coordinates):
Sn (0.000, 0.000, 0.500)
Sn (0.000, 0.500, 0.000)
H (0.000, 0.000, 0.000)
Mn (0.500, 0.500, 0.500)
Os (0.500, 0.000, 0.000)


Entry from the Alexandria database: a relaxed structure of MnPH3 (PBEsol).

* final energy: -4.588 eV per atom
* energy above the most stable polymorph in this dataset: 0 meV per atom
* size of the total moment: 1.25 μB/f.u.

a = 3.268 Å, b = 3.268 Å, c = 3.268 Å
α = 90.00°, β = 90.00°, γ = 90.00°
Atoms (fractional coordinates):
P (0.500, 0.500, 0.500)
H (0.000, 0.000, 0.500)
H (0.500, 0.000, 0.000)
H (0.000, 0.500, 0.000)
Mn (0.000, 0.000, 0.000)


Entry from the Alexandria database: a relaxed structure of MnPH3 (PBEsol).

* final energy: -4.341 eV per atom
* energy above the most stable polymorph in this dataset: 247 meV per atom
* size of the total moment: 4.20 μB/f.u.

a = 3.450 Å, b = 3.450 Å, c = 3.450 Å
α = 90.00°, β = 90.00°, γ = 90.00°
Atoms (fractional coordinates):
Mn (0.500, 0.500, 0.500)
H (0.500, 0.000, 0.000)
H (0.000, 0.000, 0.500)
H (0.000, 0.500, 0.000)
P (0.000, 0.000, 0.000)


Entry from the Alexandria database: a relaxed structure of MnHPt3 (PBEsol).

* final energy: -6.931 eV per atom
* size of the total moment: 4.60 μB/f.u.

a = 3.953 Å, b = 3.953 Å, c = 3.953 Å
α = 90.00°, β = 90.00°, γ = 90.00°
Atoms (fractional coordinates):
Pt (0.000, 0.000, 0.500)
Pt (0.500, 0.000, 0.000)
Pt (0.000, 0.500, 0.000)
H (0.000, 0.000, 0.000)
Mn (0.500, 0.500, 0.500)


Entry from the Alexandria database: a relaxed structure of MnH2Pt2 (PBEsol).

* final energy: -6.119 eV per atom
* size of the total moment: 3.97 μB/f.u.

a = 3.630 Å, b = 5.361 Å, c = 5.361 Å
α = 90.00°, β = 90.00°, γ = 90.00°
Atoms (fractional coordinates):
Mn (0.000, 0.000, 0.000)
Mn (0.000, 0.500, 0.500)
H (0.000, 0.839, 0.339)
H (0.000, 0.339, 0.161)
H (0.000, 0.161, 0.661)
H (0.000, 0.661, 0.839)
Pt (0.500, 0.679, 0.821)
Pt (0.500, 0.179, 0.679)
Pt (0.500, 0.821, 0.321)
Pt (0.500, 0.321, 0.179)


Entry from the Alexandria database: a relaxed structure of MnHPt2 (PBEsol).

* final energy: -6.479 eV per atom
* size of the total moment: 4.10 μB/f.u.

a = 4.107 Å, b = 4.107 Å, c = 4.107 Å
α = 60.00°, β = 60.00°, γ = 60.00°
Atoms (fractional coordinates):
Pt (0.250, 0.250, 0.250)
Pt (0.750, 0.750, 0.750)
Mn (0.500, 0.500, 0.500)
H (0.000, 0.000, 0.000)


Entry from the Alexandria database: a relaxed structure of Rb2MnHSe (PBEsol).

* final energy: -3.691 eV per atom
* size of the total moment: 5.00 μB/f.u.

a = 4.281 Å, b = 5.412 Å, c = 5.412 Å
α = 90.00°, β = 90.00°, γ = 90.00°
Atoms (fractional coordinates):
Rb (0.000, 0.500, 0.000)
Rb (0.000, 0.000, 0.500)
Se (0.500, 0.500, 0.500)
Mn (0.500, 0.000, 0.000)
H (0.000, 0.000, 0.000)


Entry from the Alexandria database: a relaxed structure of Mn3ReH (PBEsol).

* final energy: -9.217 eV per atom
* size of the total moment: 0.00 μB/f.u.

a = 4.452 Å, b = 6.626 Å, c = 6.626 Å
α = 102.53°, β = 90.08°, γ = 90.08°
Atoms (fractional coordinates):
Mn (0.413, 0.063, 0.684)
Mn (0.917, 0.169, 0.556)
Mn (0.087, 0.316, 0.937)
Mn (0.913, 0.684, 0.063)
Mn (0.417, 0.556, 0.169)
Mn (0.579, 0.193, 0.062)
Mn (0.921, 0.938, 0.807)
Mn (0.083, 0.831, 0.444)
Mn (0.583, 0.444, 0.831)
Mn (0.587, 0.937, 0.316)
Mn (0.079, 0.062, 0.193)
Mn (0.421, 0.807, 0.938)
Re (0.578, 0.703, 0.565)
Re (0.922, 0.435, 0.297)
Re (0.422, 0.297, 0.435)
Re (0.078, 0.565, 0.703)
H (0.250, 0.060, 0.940)
H (0.750, 0.186, 0.814)
H (0.750, 0.940, 0.060)
H (0.250, 0.814, 0.186)


Entry from the Alexandria database: a relaxed structure of MnH2Rh (PBEsol).

* final energy: -5.727 eV per atom
* size of the total moment: 4.06 μB/f.u.

a = 3.604 Å, b = 3.604 Å, c = 3.604 Å
α = 60.00°, β = 60.00°, γ = 60.00°
Atoms (fractional coordinates):
H (0.750, 0.750, 0.750)
H (0.250, 0.250, 0.250)
Mn (0.000, 0.000, 0.000)
Rh (0.500, 0.500, 0.500)


Copy entry 8 word for word.
Entry from the Alexandria database: a relaxed structure of MnH2Pt2 (PBEsol).

* final energy: -6.119 eV per atom
* size of the total moment: 3.97 μB/f.u.

a = 3.630 Å, b = 5.361 Å, c = 5.361 Å
α = 90.00°, β = 90.00°, γ = 90.00°
Atoms (fractional coordinates):
Mn (0.000, 0.000, 0.000)
Mn (0.000, 0.500, 0.500)
H (0.000, 0.839, 0.339)
H (0.000, 0.339, 0.161)
H (0.000, 0.161, 0.661)
H (0.000, 0.661, 0.839)
Pt (0.500, 0.679, 0.821)
Pt (0.500, 0.179, 0.679)
Pt (0.500, 0.821, 0.321)
Pt (0.500, 0.321, 0.179)